HfCrO2 after structural relaxation. Source: the Alexandria database, functional PBE+U.

```
HfCrO2
1.0
-2.465 2.465 5.276
2.465 -2.465 5.276
2.465 2.465 -5.276
Hf Cr O
2 2 4
direct
0.000 0.000 0.000 Hf
0.750 0.250 0.500 Hf
0.250 0.750 0.500 Cr
0.500 0.500 0.000 Cr
0.054 0.625 0.929 O
0.375 0.304 0.429 O
0.696 0.125 0.071 O
0.875 0.946 0.571 O
```

E above lowest polymorph   0.263 eV/atom
Space group   I-42d, No. 122
Total moment   9.729 Bohr magnetons per cell